La2SiNi PBE-GGA relaxed; E = -5.815 eV per atom; DOS(E_F) = 3.899 states/eV/f.u.; raw formation energy = -0.5507 eV per atom; space-group type = P2_1/m (11)
1.0
4.264 0.000 0.000
0.000 5.629 -2.145
0.000 -0.043 8.321
Si La Ni
2 4 2
direct
0.250 0.347 0.709
0.750 0.653 0.291
0.250 0.783 0.589
0.250 0.774 0.051
0.750 0.226 0.949
0.750 0.217 0.411
0.750 0.545 0.765
0.250 0.455 0.235



Cs2TmPdCl6 PBE-GGA relaxed; E = -3.972 eV per atom; DOS(E_F) = 3.009 states/eV/f.u.; raw formation energy = -1.7266 eV per atom; space-group type = Pmmn (59)
1.0
-2.520 -1.777 7.072
5.343 -5.549 0.510
6.580 6.707 4.031
Cl Cs Tm Pd
12 4 2 2
direct
0.239 0.512 0.000
0.261 0.011 0.500
0.761 0.512 0.000
0.000 0.750 0.743
0.739 0.011 0.500
0.761 0.989 0.000
0.000 0.750 0.257
0.739 0.488 0.500
0.500 0.250 0.757
0.239 0.989 0.000
0.500 0.250 0.243
0.261 0.488 0.500
0.000 0.250 0.750
0.000 0.250 0.250
0.500 0.750 0.750
0.500 0.750 0.250
0.500 0.250 0.500
0.000 0.750 0.000
0.500 0.250 0.000
0.000 0.750 0.500



Cs3PaTe4 PBE-GGA relaxed; offset from the most stable computed form = 0 meV/atom; E = -4.091 eV per atom; raw formation energy = -1.0130 eV per atom; space-group type = Cmmm (65)
1.0
4.811 0.000 0.000
0.000 8.606 -3.339
0.000 0.384 9.223
Te Cs Pa
4 3 1
direct
0.500 0.805 0.195
0.000 0.188 0.188
0.500 0.195 0.805
0.000 0.812 0.812
0.000 0.000 0.500
0.000 0.500 0.000
0.500 0.500 0.500
0.500 0.000 0.000